1.
Compound: AuSeBr
Source: Alexandria via LeMat-Bulk
Functional: PBE
Structure: optimized geometry

Calculated values
- raw formation energy (eV/atom) = -0.1431
- space-group type = Pnma, No. 62
- crystal system = orthorhombic

Cell: 7.1321 7.7072 12.2444 Å, 90.00 90.00 90.00°
Closest atoms and distances in Å follow each position.
Positions (direct):
Au 0.3339 0.7491 0.7500  4 Se 2.54
Au 0.8339 0.7509 0.7500  4 Se 2.54
Au 0.1661 0.2491 0.2500  4 Se 2.54
Au 0.6661 0.2509 0.2500  4 Se 2.54
Au 0.5881 0.3684 0.7500  2 Se 2.50, 2 Br 2.52
Au 0.0881 0.1316 0.7500  2 Se 2.50, 2 Br 2.52
Au 0.9119 0.8684 0.2500  2 Se 2.50, 2 Br 2.52
Au 0.4119 0.6316 0.2500  2 Se 2.50, 2 Br 2.52
Se 0.5839 0.6249 0.8752  3 Au 2.50-2.54
Se 0.0839 0.8751 0.6248  3 Au 2.50-2.54
Se 0.4161 0.3751 0.3752  3 Au 2.50-2.54
Se 0.5839 0.6249 0.6248  3 Au 2.50-2.54
Se 0.0839 0.8751 0.8752  3 Au 2.50-2.54
Se 0.9161 0.1249 0.3752  3 Au 2.50-2.54
Se 0.4161 0.3751 0.1248  3 Au 2.50-2.54
Se 0.9161 0.1249 0.1248  3 Au 2.50-2.54
Br 0.9107 0.6413 0.3980  1 Au 2.52
Br 0.0893 0.3587 0.8980  1 Au 2.52
Br 0.5893 0.1413 0.6020  1 Au 2.52
Br 0.5893 0.1413 0.8980  1 Au 2.52
Br 0.4107 0.8587 0.3980  1 Au 2.52
Br 0.9107 0.6413 0.1020  1 Au 2.52
Br 0.4107 0.8587 0.1020  1 Au 2.52
Br 0.0893 0.3587 0.6020  1 Au 2.52

2.
Compound: Tb3TeSeN
Source: Alexandria via LeMat-Bulk
Functional: PBE
Structure: optimized geometry

Calculated values
- raw formation energy (eV/atom) = -1.4792
- space-group type = P2_1/m, No. 11
- crystal system = monoclinic

Cell: 4.0178 8.7862 9.1552 Å, 97.88 90.00 90.00°
Closest atoms and distances in Å follow each position.
Positions (direct):
Tb 0.7500 0.8780 0.1627  1 N 2.18
Tb 0.2500 0.1220 0.8373  1 N 2.18
Tb 0.2500 0.8451 0.4984  3 N 2.22-2.29
Tb 0.7500 0.1549 0.5016  3 N 2.22-2.29
Tb 0.7500 0.4185 0.1349  3 Se 2.84-2.88, 2 Te 3.11
Tb 0.2500 0.5815 0.8651  3 Se 2.84-2.88, 2 Te 3.11
Te 0.2500 0.1679 0.2026  7 Tb 3.11-3.41
Te 0.7500 0.8321 0.7974  7 Tb 3.11-3.41
Se 0.2500 0.6479 0.1825  6 Tb 2.84-3.16
Se 0.7500 0.3521 0.8175  6 Tb 2.84-3.16
N 0.2500 0.0904 0.5967  4 Tb 2.18-2.29
N 0.7500 0.9096 0.4033  4 Tb 2.18-2.29

3.
Compound: BaLi2Te
Source: Alexandria via LeMat-Bulk
Functional: PBE
Structure: optimized geometry

Calculated values
- raw formation energy (eV/atom) = -0.5578
- space-group type = I-42d, No. 122
- crystal system = tetragonal

Cell: 4.9390 4.9390 11.3246 Å, 77.40 77.40 90.00°
Closest atoms and distances in Å follow each position.
Positions (direct):
Te 0.5000 0.5000 0.0000  4 Li 3.04
Te 0.2500 0.7500 0.5000  4 Li 3.04
Ba 0.0000 0.0000 0.0000  4 Li 3.46, 4 Te 3.49
Ba 0.7500 0.2500 0.5000  4 Li 3.46, 4 Te 3.49
Li 0.5132 0.1250 0.2500  2 Li 2.82, 2 Te 3.04
Li 0.2368 0.6250 0.2500  2 Li 2.82, 2 Te 3.04
Li 0.3750 0.4868 0.7500  2 Li 2.82, 2 Te 3.04
Li 0.8750 0.7632 0.7500  2 Li 2.82, 2 Te 3.04

4.
Compound: Rb3Cr5S12
Source: Alexandria via LeMat-Bulk
Functional: PBE
Structure: optimized geometry

Calculated values
- raw formation energy (eV/atom) = -0.5739
- space-group type = Ia-3d, No. 230
- crystal system = cubic

Cell: 13.4386 13.4386 13.4386 Å, 109.47 109.47 109.47°
Closest atoms and distances in Å follow each position.
Positions (direct):
Rb 0.7500 0.3750 0.1250  8 S 3.22-3.28
Rb 0.8750 0.7500 0.1250  8 S 3.22-3.28
Rb 0.3750 0.7500 0.6250  8 S 3.22-3.28
Rb 0.2500 0.1250 0.3750  8 S 3.22-3.28
Rb 0.8750 0.1250 0.2500  8 S 3.22-3.28
Rb 0.3750 0.6250 0.2500  8 S 3.22-3.28
Rb 0.6250 0.3750 0.7500  8 S 3.22-3.28
Rb 0.1250 0.8750 0.7500  8 S 3.22-3.28
Rb 0.7500 0.8750 0.6250  8 S 3.22-3.28
Rb 0.6250 0.2500 0.3750  8 S 3.22-3.28
Rb 0.1250 0.2500 0.8750  8 S 3.22-3.28
Rb 0.2500 0.6250 0.8750  8 S 3.22-3.28
Cr 0.1250 0.3750 0.2500  4 S 2.13
Cr 0.0000 0.5000 0.0000  6 S 2.47
Cr 0.0000 0.0000 0.0000  6 S 2.47
Cr 0.3750 0.2500 0.1250  4 S 2.13
Cr 0.5000 0.0000 0.5000  6 S 2.47
Cr 0.5000 0.5000 0.0000  6 S 2.47
Cr 0.1250 0.7500 0.3750  4 S 2.13
Cr 0.7500 0.1250 0.8750  4 S 2.13
Cr 0.7500 0.6250 0.3750  4 S 2.13
Cr 0.3750 0.1250 0.7500  4 S 2.13
Cr 0.6250 0.8750 0.2500  4 S 2.13
Cr 0.5000 0.5000 0.5000  6 S 2.47
Cr 0.5000 0.0000 0.0000  6 S 2.47
Cr 0.0000 0.0000 0.5000  6 S 2.47
Cr 0.2500 0.3750 0.6250  4 S 2.13
Cr 0.2500 0.8750 0.1250  4 S 2.13
Cr 0.0000 0.5000 0.5000  6 S 2.47
Cr 0.8750 0.2500 0.6250  4 S 2.13
Cr 0.6250 0.7500 0.8750  4 S 2.13
Cr 0.8750 0.6250 0.7500  4 S 2.13
S 0.6900 0.0971 0.9968  1 Cr 2.13
S 0.3068 0.4968 0.3997  1 Cr 2.13
S 0.0032 0.4029 0.3100  1 Cr 2.13
S 0.4968 0.1900 0.0971  1 Cr 2.13
S 0.5929 0.6900 0.6932  1 Cr 2.13
S 0.0032 0.6003 0.1932  1 Cr 2.13
S 0.3068 0.8100 0.4071  1 Cr 2.13
S 0.1003 0.9071 0.0971  1 Cr 2.13
S 0.6003 0.0032 0.6932  1 Cr 2.13
S 0.6900 0.5929 0.1932  1 Cr 2.13
S 0.8100 0.5032 0.4029  1 Cr 2.13
S 0.8068 0.8997 0.9968  1 Cr 2.13
S 0.0971 0.6900 0.4968  1 Cr 2.13
S 0.4029 0.3997 0.0929  1 Cr 2.13
S 0.0929 0.8997 0.4029  1 Cr 2.13
S 0.4071 0.0971 0.6003  1 Cr 2.13
S 0.0929 0.1932 0.1900  1 Cr 2.13
S 0.5032 0.6932 0.1003  1 Cr 2.13
S 0.8068 0.9071 0.3100  1 Cr 2.13
S 0.0971 0.4071 0.1003  1 Cr 2.13
S 0.4029 0.0032 0.8100  1 Cr 2.13
S 0.6003 0.5971 0.4071  1 Cr 2.13
S 0.8997 0.8068 0.4968  1 Cr 2.13
S 0.8100 0.3068 0.9071  1 Cr 2.13
S 0.3997 0.4029 0.5929  1 Cr 2.13
S 0.1003 0.1932 0.5032  1 Cr 2.13
S 0.1900 0.6932 0.0929  1 Cr 2.13
S 0.1932 0.0929 0.6900  1 Cr 2.13
S 0.5971 0.9968 0.1900  1 Cr 2.13
S 0.9029 0.5929 0.8997  1 Cr 2.13
S 0.4968 0.3068 0.8997  1 Cr 2.13
S 0.5929 0.9029 0.3997  1 Cr 2.13
S 0.9071 0.8068 0.8100  1 Cr 2.13
S 0.9071 0.1003 0.5971  1 Cr 2.13
S 0.9029 0.3100 0.5032  1 Cr 2.13
S 0.1932 0.1003 0.0032  1 Cr 2.13
S 0.5971 0.6003 0.9071  1 Cr 2.13
S 0.3997 0.9968 0.3068  1 Cr 2.13
S 0.3100 0.4071 0.8068  1 Cr 2.13
S 0.1900 0.4968 0.5971  1 Cr 2.13
S 0.8997 0.0929 0.9029  1 Cr 2.13
S 0.6932 0.1900 0.5929  1 Cr 2.13
S 0.5032 0.8100 0.9029  1 Cr 2.13
S 0.9968 0.3997 0.8068  1 Cr 2.13
S 0.4071 0.3100 0.3068  1 Cr 2.13
S 0.9968 0.5971 0.6900  1 Cr 2.13
S 0.6932 0.5032 0.6003  1 Cr 2.13
S 0.3100 0.9029 0.0032  1 Cr 2.13

5.
Compound: RbAgRu2Au
Source: Alexandria via LeMat-Bulk
Functional: PBE
Structure: optimized geometry

Calculated values
- electronic total energy (eV/atom) = -2.575
- space-group type = P4/mmm, No. 123
- crystal system = tetragonal

Cell: 4.8135 4.8135 5.2718 Å, 90.00 90.00 90.00°
Closest atoms and distances in Å follow each position.
Positions (direct):
Ru 0.0000 0.5000 0.0000  2 Rb 2.41
Ru 0.5000 0.0000 0.0000  2 Rb 2.41
Au 0.5000 0.5000 0.5000  4 Ag 3.40, 8 Ru 3.57
Rb 0.0000 0.0000 0.0000  4 Ru 2.41, 2 Ag 2.64
Ag 0.0000 0.0000 0.5000  2 Rb 2.64

6.
Compound: Nd5CoHg
Source: Alexandria via LeMat-Bulk
Functional: PBE
Structure: optimized geometry

Calculated values
- electronic total energy (eV/atom) = -4.540
- space-group type = C2/c, No. 15
- crystal system = monoclinic

Cell: 6.2775 6.2775 11.7789 Å, 75.21 75.21 71.24°
Closest atoms and distances in Å follow each position.
Positions (direct):
Nd 0.9438 0.5838 0.1342  1 Co 2.77
Nd 0.2048 0.5627 0.5524  1 Co 2.62
Nd 0.5838 0.9438 0.6342  1 Co 2.77
Nd 0.0136 0.9864 0.2500  2 Co 2.95, 1 Hg 3.13
Nd 0.4373 0.7952 0.9476  1 Co 2.62
Nd 0.5627 0.2048 0.0524  1 Co 2.62
Nd 0.9864 0.0136 0.7500  2 Co 2.95, 1 Hg 3.13
Nd 0.4162 0.0562 0.3658  1 Co 2.77
Nd 0.7952 0.4373 0.4476  1 Co 2.62
Nd 0.0562 0.4162 0.8658  1 Co 2.77
Co 0.0000 0.0000 0.0000  4 Nd 2.62-2.77
Co 0.0000 0.0000 0.5000  4 Nd 2.62-2.77
Hg 0.4414 0.5586 0.2500  7 Nd 3.13-3.50
Hg 0.5586 0.4414 0.7500  7 Nd 3.13-3.50

7.
Compound: TlRh2Se
Source: Alexandria via LeMat-Bulk
Functional: PBE
Structure: optimized geometry

Calculated values
- raw formation energy (eV/atom) = 0.2789
- space-group type = Pmmm, No. 47
- crystal system = orthorhombic

Cell: 3.2024 5.2280 4.3167 Å, 90.00 90.00 90.00°
Closest atoms and distances in Å follow each position.
Positions (direct):
Rh 0.0000 0.0000 0.0000  4 Se 2.69
Rh 0.5000 0.5000 0.0000  4 Tl 2.69
Se 0.5000 0.0000 0.5000  4 Rh 2.69
Tl 0.0000 0.5000 0.5000  4 Rh 2.69

8.
Compound: TiSnTeI2
Source: Alexandria via LeMat-Bulk
Functional: PBE
Structure: optimized geometry

Calculated values
- raw formation energy (eV/atom) = 0.6425
- energy above the most stable polymorph in this dataset (meV per atom) = 738
- space-group type = P4/mmm, No. 123
- crystal system = tetragonal

Cell: 5.9020 5.9020 5.8704 Å, 90.00 90.00 90.00°
Closest atoms and distances in Å follow each position.
Positions (direct):
I 0.0000 0.5000 0.0000  2 Sn 2.95
I 0.5000 0.0000 0.0000  2 Sn 2.95
Te 0.0000 0.0000 0.5000  2 Sn 2.94
Sn 0.0000 0.0000 0.0000  2 Te 2.94, 4 I 2.95
Ti 0.5000 0.5000 0.5000  8 I 4.16, 4 Te 4.17